[1]
The following is a PBE calculation of crystalline B2C at its relaxed geometry, from Alexandria via LeMat-Bulk.

Output
crystal system = triclinic
ΔE_f = 0.420 eV/atom
total moment = 0.00 μB per atom
VASP energy = -7.1063 eV per atom
density of states at the Fermi level = 0.457 states/eV/cell
ρ = 2.7 Mg/m³

a = 3.558 Å, b = 4.414 Å, c = 5.351 Å
α = 90.16°, β = 100.71°, γ = 90.95°
Space group P-1 (No. 2)
Inequivalent atoms, fractional coordinates:
B1 0.096 0.104 0.265 (multiplicity 2)
B2 0.165 0.450 0.140 (multiplicity 2)
B3 0.174 0.198 0.892 (multiplicity 2)
B4 0.399 0.827 0.463 (multiplicity 2)
C1 0.129 0.591 0.610 (multiplicity 2)
C2 0.454 0.375 0.741 (multiplicity 2)

---

[2]
The following is a PBE calculation of crystalline HfTiZn2Se at its relaxed geometry, from Alexandria via LeMat-Bulk.

Output
crystal system = tetragonal
total moment = 0.31 μB per atom
VASP energy = -4.1121 eV per atom
density of states at the Fermi level = 5.887 states/eV/cell
raw formation energy = 664 meV per atom
ρ = 6.5 Mg/m³

a = 4.746 Å, b = 4.746 Å, c = 4.967 Å
α = 90.00°, β = 90.00°, γ = 90.00°
Space group P4/mmm (No. 123)
Inequivalent atoms, fractional coordinates:
Hf1 0.000 0.000 0.000 (multiplicity 1)
Ti1 0.500 0.500 0.000 (multiplicity 1)
Zn1 0.000 0.500 0.500 (multiplicity 2)
Se1 0.000 0.000 0.500 (multiplicity 1)

---

[3]
The following is a PBE calculation of crystalline Tm4Cu2HgRh at its relaxed geometry, from Alexandria via LeMat-Bulk.

Output
crystal system = trigonal
ΔE_f = -0.505 eV/atom
total moment = 0.00 μB per atom
VASP energy = -4.7218 eV per atom
density of states at the Fermi level = 14.098 states/eV/cell
ρ = 10.9 Mg/m³

a = 4.9246 Å, b = 4.9246 Å, c = 24.0790 Å
α = 90.00°, β = 90.00°, γ = 120.00°
Space group R-3m (No. 166, hexagonal axes)
Inequivalent atoms, fractional coordinates:
Tm1 0.0000 0.0000 0.1183 (multiplicity 6)
Tm2 0.0000 0.0000 0.3699 (multiplicity 6)
Cu1 0.0000 0.0000 0.2468 (multiplicity 6)
Hg1 0.0000 0.0000 0.5000 (multiplicity 3)
Rh1 0.0000 0.0000 0.0000 (multiplicity 3)

---

[4]
The following is a PBE calculation of crystalline Sm2NpSi at its relaxed geometry, from Alexandria via LeMat-Bulk.

Output
crystal system = trigonal
total moment = 1.29 μB per atom
VASP energy = -6.5853 eV per atom
density of states at the Fermi level = 27.286 states/eV/cell
raw formation energy = 365 meV per atom
ρ = 8.2 Mg/m³

a = 3.4956 Å, b = 3.4956 Å, c = 32.6071 Å
α = 90.00°, β = 90.00°, γ = 120.00°
Space group R-3m (No. 166, hexagonal axes)
Inequivalent atoms, fractional coordinates:
Sm1 0.0000 0.0000 0.1026 (multiplicity 6)
Np1 0.0000 0.0000 0.0000 (multiplicity 3)
Si1 0.0000 0.0000 0.5000 (multiplicity 3)

---

[5]
The following is a PBE calculation of crystalline TcBF3 at its relaxed geometry, from Alexandria via LeMat-Bulk.

Output
crystal system = cubic
total moment = 0.86 μB per atom
VASP energy = -4.6186 eV per atom
density of states at the Fermi level = 3.235 states/eV/cell
raw formation energy = -87 meV per atom
ρ = 4.6 Mg/m³

a = 3.920 Å, b = 3.920 Å, c = 3.920 Å
α = 90.00°, β = 90.00°, γ = 90.00°
Space group Pm-3m (No. 221)
Inequivalent atoms, fractional coordinates:
Tc1 0.000 0.000 0.000 (multiplicity 1)
B1 0.500 0.500 0.500 (multiplicity 1)
F1 0.000 0.500 0.500 (multiplicity 3)

---

[6]
The following is a PBE calculation of crystalline NdSm3Tm5 at its relaxed geometry, from Alexandria via LeMat-Bulk.

Output
crystal system = monoclinic
ΔE_f = 0.330 eV/atom
total moment = 0.03 μB per atom
VASP energy = -4.2571 eV per atom
density of states at the Fermi level = 53.315 states/eV/cell
ρ = 7.9 Mg/m³

a = 19.076 Å, b = 6.005 Å, c = 11.450 Å
α = 90.00°, β = 113.39°, γ = 90.00°
Space group C2/c (No. 15)
Inequivalent atoms, fractional coordinates:
Nd1 0.000 0.050 0.250 (multiplicity 4)
Sm1 0.000 0.000 0.000 (multiplicity 4)
Sm2 0.180 0.236 0.364 (multiplicity 8)
Tm1 0.000 0.448 0.750 (multiplicity 4)
Tm2 0.161 0.257 0.697 (multiplicity 8)
Tm3 0.171 0.251 0.032 (multiplicity 8)

---

[7]
The following is a PBE calculation of crystalline Ag2RhPb at its relaxed geometry, from Alexandria via LeMat-Bulk.

Output
crystal system = tetragonal
ΔE_f = 0.132 eV/atom
total moment = 0.00 μB per atom
VASP energy = -4.0585 eV per atom
density of states at the Fermi level = 2.646 states/eV/cell
ρ = 11.5 Mg/m³

a = 3.494 Å, b = 3.494 Å, c = 6.228 Å
α = 90.00°, β = 90.00°, γ = 90.00°
Space group P4mm (No. 99)
Inequivalent atoms, fractional coordinates:
Ag1 0.000 0.000 0.000 (multiplicity 1)
Ag2 0.500 0.500 0.221 (multiplicity 1)
Rh1 0.500 0.500 0.746 (multiplicity 1)
Pb1 0.000 0.000 0.523 (multiplicity 1)

---

[8]
The following is a PBE calculation of crystalline SmZrGe2Rh5 at its relaxed geometry, from Alexandria via LeMat-Bulk.

Output
crystal system = tetragonal
ΔE_f = -0.489 eV/atom
total moment = 0.00 μB per atom
VASP energy = -7.0735 eV per atom
density of states at the Fermi level = 6.276 states/eV/cell
ρ = 9.4 Mg/m³

a = 4.651 Å, b = 4.651 Å, c = 7.385 Å
α = 90.00°, β = 90.00°, γ = 90.00°
Space group P4/mmm (No. 123)
Inequivalent atoms, fractional coordinates:
Sm1 0.000 0.000 0.000 (multiplicity 1)
Zr1 0.000 0.000 0.500 (multiplicity 1)
Ge1 0.500 0.500 0.334 (multiplicity 2)
Rh1 0.000 0.500 0.273 (multiplicity 4)
Rh2 0.500 0.500 0.000 (multiplicity 1)

---

[9]
The following is a PBE calculation of crystalline TlPtRh at its relaxed geometry, from Alexandria via LeMat-Bulk.

Output
crystal system = trigonal
ΔE_f = 0.226 eV/atom
total moment = 0.00 μB per atom
VASP energy = -5.0264 eV per atom
density of states at the Fermi level = 5.478 states/eV/cell
ρ = 15.8 Mg/m³

a = 4.5533 Å, b = 4.5533 Å, c = 2.9378 Å
α = 90.00°, β = 90.00°, γ = 120.00°
Space group P3m1 (No. 156)
Inequivalent atoms, fractional coordinates:
Tl1 0.0000 0.0000 0.0000 (multiplicity 1)
Pt1 0.3333 0.6667 0.2941 (multiplicity 1)
Rh1 0.6667 0.3333 0.7057 (multiplicity 1)

---

[10]
The following is a PBE calculation of crystalline SrAsH3 at its relaxed geometry, from Alexandria via LeMat-Bulk.

Output
crystal system = cubic
total moment = 0.18 μB per atom
VASP energy = -2.6902 eV per atom
density of states at the Fermi level = 2.515 states/eV/cell
ρ = 3.4 Mg/m³

a = 4.320 Å, b = 4.320 Å, c = 4.320 Å
α = 90.00°, β = 90.00°, γ = 90.00°
Space group Pm-3m (No. 221)
Inequivalent atoms, fractional coordinates:
Sr1 0.000 0.000 0.000 (multiplicity 1)
As1 0.500 0.500 0.500 (multiplicity 1)
H1 0.000 0.000 0.500 (multiplicity 3)

---

[11]
The following is a PBE calculation of crystalline CdTcOs2 at its relaxed geometry, from Alexandria via LeMat-Bulk.

Output
crystal system = orthorhombic
ΔE_f = 0.661 eV/atom
total moment = 0.00 μB per atom
VASP energy = -7.7737 eV per atom
density of states at the Fermi level = 13.627 states/eV/cell
ρ = 15.8 Mg/m³

a = 5.559 Å, b = 8.050 Å, c = 2.780 Å
α = 90.00°, β = 90.00°, γ = 90.00°
Space group Cmmm (No. 65)
Inequivalent atoms, fractional coordinates:
Cd1 0.000 0.000 0.000 (multiplicity 2)
Tc1 0.000 0.500 0.000 (multiplicity 2)
Os1 0.250 0.250 0.500 (multiplicity 4)

---

[12]
The following is a PBE calculation of crystalline PmPr5Nd5 at its relaxed geometry, from Alexandria via LeMat-Bulk.

Output
crystal system = triclinic
ΔE_f = 0.169 eV/atom
total moment = 0.00 μB per atom
VASP energy = -4.6029 eV per atom
density of states at the Fermi level = 15.434 states/eV/cell
ρ = 6.6 Mg/m³

a = 6.933 Å, b = 7.961 Å, c = 8.471 Å
α = 100.49°, β = 100.37°, γ = 115.29°
Space group P-1 (No. 2)
Inequivalent atoms, fractional coordinates:
Pm1 0.000 0.000 0.000 (multiplicity 1)
Pr1 0.149 0.738 0.240 (multiplicity 2)
Pr2 0.478 0.695 0.645 (multiplicity 2)
Pr3 0.500 0.500 0.000 (multiplicity 1)
Nd1 0.018 0.321 0.347 (multiplicity 2)
Nd2 0.264 0.138 0.641 (multiplicity 2)
Nd3 0.500 0.000 0.000 (multiplicity 1)

---

Q: Which of these has the highest VASP energy?
A: SrAsH3

---

Q: The lowest density of states at the Fermi level belongs to which entry?
A: B2C

---

Q: Look up the density of states at the Fermi level of the eighth one.
A: 6.276 states/eV/cell